The following is a PBE calculation of Tb2Cd3In after structural relaxation, from the Alexandria database.

## Properties
Formation energy: -0.365 eV/atom
V: 24.99 Å³ per atom

abc: 7.017 9.942 17.197
angles: 90.00 90.00 90.00
Space group Fmmm (No. 69)
Inequivalent atoms, fractional coordinates:
1 Tb 0.249 0.000 0.000 (multiplicity 8)
2 Tb 0.250 0.250 0.250 (multiplicity 8)
3 Cd 0.000 0.000 0.166 (multiplicity 8)
4 Cd 0.000 0.249 0.083 (multiplicity 16)
5 In 0.000 0.000 0.334 (multiplicity 8)

The following is a PBE calculation of BeCo2CuH after structural relaxation, from the Alexandria database.

## Properties
E: -0.1844 hartree per atom
V: 8.68 Å³ per atom

abc: 3.515 3.515 3.513
angles: 90.00 90.00 90.00
Space group P4/mmm (No. 123)
Inequivalent atoms, fractional coordinates:
1 Be 0.000 0.000 0.000 (multiplicity 1)
2 Co 0.000 0.500 0.500 (multiplicity 2)
3 Cu 0.500 0.500 0.000 (multiplicity 1)
4 H 0.000 0.000 0.500 (multiplicity 1)

The following is a PBE calculation of La12YEr7 after structural relaxation, from the Alexandria database.

## Properties
Formation energy: 0.196 eV/atom
ΔE to the lowest computed polymorph: 0 meV/atom
V: 34.65 Å³ per atom

abc: 12.4650 12.4650 15.4519
angles: 90.00 90.00 120.00
Space group R-3 (No. 148, hexagonal axes)
Inequivalent atoms, fractional coordinates:
1 La 0.0122 0.4377 0.2208 (multiplicity 18)
2 La 0.0665 0.5968 0.5779 (multiplicity 18)
3 Y 0.0000 0.0000 0.5000 (multiplicity 3)
4 Er 0.0000 0.0000 0.0000 (multiplicity 3)
5 Er 0.0506 0.1834 0.3081 (multiplicity 18)

The following is a PBE calculation of Ba3AlAg3 after structural relaxation, from the Alexandria database.

## Properties
Formation energy: -0.083 eV/atom
ΔE to the lowest computed polymorph: 156 meV/atom
V: 40.42 Å³ per atom

abc: 9.8191 9.8191 6.7773
angles: 90.00 90.00 120.00
Space group P6_3/m (No. 176)
Inequivalent atoms, fractional coordinates:
1 Ba 0.0709 0.3702 0.2500 (multiplicity 6)
2 Al 0.3333 0.6667 0.7500 (multiplicity 2)
3 Ag 0.0816 0.3903 0.7500 (multiplicity 6)

The following is a PBE calculation of CuHg2Ru after structural relaxation, from the Alexandria database.

## Properties
Formation energy: 0.389 eV/atom
ΔE to the lowest computed polymorph: 0 meV/atom
V: 17.17 Å³ per atom

abc: 4.269 4.269 3.768
angles: 90.00 90.00 90.00
Space group P4/mmm (No. 123)
Inequivalent atoms, fractional coordinates:
1 Cu 0.000 0.000 0.000 (multiplicity 1)
2 Hg 0.000 0.500 0.500 (multiplicity 2)
3 Ru 0.500 0.500 0.000 (multiplicity 1)

The following is a PBE calculation of Ba2Fe after structural relaxation, from the Alexandria database.

## Properties
Formation energy: 1.325 eV/atom
V: 42.56 Å³ per atom

abc: 10.071 10.071 10.071
angles: 90.00 90.00 90.00
Space group Fd-3m (No. 227, origin choice 2)
Inequivalent atoms, fractional coordinates:
1 Ba 0.000 0.000 0.000 (multiplicity 16)
2 Fe 0.125 0.125 0.625 (multiplicity 8)

The following is a PBE calculation of SrCd2Cl after structural relaxation, from the Alexandria database.

## Properties
ΔE_f (raw): -673 meV per atom
ΔE to the lowest computed polymorph: 137 meV/atom
V: 31.38 Å³ per atom

abc: 5.793 10.697 4.051
angles: 90.00 90.00 90.00
Space group Cmmm (No. 65)
Inequivalent atoms, fractional coordinates:
1 Sr 0.000 0.000 0.000 (multiplicity 2)
2 Cd 0.250 0.250 0.500 (multiplicity 4)
3 Cl 0.000 0.500 0.000 (multiplicity 2)

The following is a PBE calculation of NpSe6O12 after structural relaxation, from the Alexandria database.

## Properties
ΔE_f (raw): -886 meV per atom
V: 19.52 Å³ per atom

abc: 8.6359 8.6359 17.2282
angles: 90.00 90.00 120.00
Space group R-3 (No. 148, hexagonal axes)
Inequivalent atoms, fractional coordinates:
1 Np 0.0000 0.0000 0.0000 (multiplicity 3)
2 Se 0.0252 0.2513 0.2624 (multiplicity 18)
3 O 0.0108 0.7966 0.0646 (multiplicity 18)
4 O 0.0844 0.5145 0.0699 (multiplicity 18)

- The lowest V belongs to which entry?
  BeCo2CuH

- Which value of V does entry 4 give?
  40.42 Å³ per atom